116
Lattice="9.019 0.000 0.000 0.000 9.019 0.000 0.000 0.000 11.505" Properties=species:S:1:pos:R:3 comment="SrH18O10 (GGA-PBE, optimized geometry)" total_energy_ev_per_atom=-5.05 pbc="T T T"
Sr 2.255 6.764 2.876
Sr 2.255 6.764 8.629
Sr 6.764 2.255 2.876
Sr 6.764 2.255 8.629
H 0.109 4.885 1.478
H 0.109 8.644 7.231
H 0.349 5.918 11.092
H 0.349 7.610 5.340
H 0.375 4.618 4.275
H 0.375 8.910 10.027
H 0.687 1.745 4.368
H 0.687 2.764 10.121
H 0.712 1.723 7.311
H 0.712 2.786 1.559
H 1.409 4.859 6.165
H 1.409 8.670 0.413
H 1.723 0.712 1.559
H 1.723 3.797 7.311
H 1.745 0.687 10.121
H 1.745 3.823 4.368
H 2.255 2.255 2.761
H 2.255 2.255 5.562
H 2.255 2.255 8.514
H 2.255 2.255 11.315
H 2.764 0.687 4.368
H 2.764 3.823 10.121
H 2.786 0.712 7.311
H 2.786 3.797 1.559
H 3.101 4.859 0.413
H 3.101 8.670 6.165
H 3.797 1.723 1.559
H 3.797 2.786 7.311
H 3.823 1.745 10.121
H 3.823 2.764 4.368
H 4.134 4.618 10.027
H 4.134 8.910 4.275
H 4.160 5.918 5.340
H 4.160 7.610 11.092
H 4.401 4.885 7.231
H 4.401 8.644 1.478
H 4.618 0.375 10.027
H 4.618 4.134 4.275
H 4.859 1.409 0.413
H 4.859 3.101 6.165
H 4.885 0.109 7.231
H 4.885 4.401 1.478
H 5.196 6.255 7.137
H 5.196 7.274 1.384
H 5.222 6.233 4.194
H 5.222 7.296 9.946
H 5.918 0.349 5.340
H 5.918 4.160 11.092
H 6.233 5.222 9.946
H 6.233 8.307 4.194
H 6.255 5.196 1.384
H 6.255 8.332 7.137
H 6.764 6.764 0.190
H 6.764 6.764 2.992
H 6.764 6.764 5.943
H 6.764 6.764 8.744
H 7.274 5.196 7.137
H 7.274 8.332 1.384
H 7.296 5.222 4.194
H 7.296 8.307 9.946
H 7.610 0.349 11.092
H 7.610 4.160 5.340
H 8.307 6.233 9.946
H 8.307 7.296 4.194
H 8.332 6.255 1.384
H 8.332 7.274 7.137
H 8.644 0.109 1.478
H 8.644 4.401 7.231
H 8.670 1.409 6.165
H 8.670 3.101 0.413
H 8.910 0.375 4.275
H 8.910 4.134 10.027
O 0.220 5.852 10.106
O 0.220 7.677 4.353
O 0.253 5.872 1.385
O 0.253 7.657 7.138
O 1.342 4.729 7.152
O 1.342 8.799 1.400
O 1.362 4.762 4.368
O 1.362 8.766 10.120
O 2.255 2.255 1.778
O 2.255 2.255 4.582
O 2.255 2.255 7.531
O 2.255 2.255 10.334
O 3.148 4.762 10.120
O 3.148 8.766 4.368
O 3.167 4.729 1.400
O 3.167 8.799 7.152
O 4.257 5.872 7.138
O 4.257 7.657 1.385
O 4.290 5.852 4.353
O 4.290 7.677 10.106
O 4.729 1.342 1.400
O 4.729 3.167 7.152
O 4.762 1.362 10.120
O 4.762 3.148 4.368
O 5.852 0.220 4.353
O 5.852 4.290 10.106
O 5.872 0.253 7.138
O 5.872 4.257 1.385
O 6.764 6.764 1.171
O 6.764 6.764 3.974
O 6.764 6.764 6.924
O 6.764 6.764 9.727
O 7.657 0.253 1.385
O 7.657 4.257 7.138
O 7.677 0.220 10.106
O 7.677 4.290 4.353
O 8.766 1.362 4.368
O 8.766 3.148 10.120
O 8.799 1.342 7.152
O 8.799 3.167 1.400